1.
# TiSbTe2Rh PBE optimized geometry
# - E: -4.563 eV/atom
# - Total moment: 0.1 Bohr magnetons per cell
# - Excess energy over the best structure of this formula in the dataset: 69 meV/atom
data_TiSbTe2Rh
_chemical_formula_sum 'Ti1 Sb1 Te2 Rh1'
_space_group_name_H-M_alt 'P 4/m m m'
_space_group_IT_number 123
_space_group_name_Hall '-P 4 2'
_cell_length_a 5.1839
_cell_length_b 5.1839
_cell_length_c 5.2025
_cell_angle_alpha 90.00
_cell_angle_beta 90.00
_cell_angle_gamma 90.00
loop_
_atom_site_label
_atom_site_type_symbol
_atom_site_fract_x
_atom_site_fract_y
_atom_site_fract_z
Ti1 Ti 0.0000 0.0000 0.0000
Sb1 Sb 0.0000 0.0000 0.5000
Te1 Te 0.0000 0.5000 0.0000
Rh1 Rh 0.5000 0.5000 0.5000

---

2.
# TiSb2TeRh PBE optimized geometry
# - E: -4.797 eV/atom
# - Total moment: 0.0 Bohr magnetons per cell
# - Excess energy over the best structure of this formula in the dataset: 0 meV/atom
data_TiSb2TeRh
_chemical_formula_sum 'Ti1 Sb2 Te1 Rh1'
_space_group_name_H-M_alt 'P 4/m m m'
_space_group_IT_number 123
_space_group_name_Hall '-P 4 2'
_cell_length_a 5.0426
_cell_length_b 5.0426
_cell_length_c 5.3457
_cell_angle_alpha 90.00
_cell_angle_beta 90.00
_cell_angle_gamma 90.00
loop_
_atom_site_label
_atom_site_type_symbol
_atom_site_fract_x
_atom_site_fract_y
_atom_site_fract_z
Ti1 Ti 0.0000 0.0000 0.0000
Sb1 Sb 0.0000 0.5000 0.5000
Te1 Te 0.5000 0.5000 0.0000
Rh1 Rh 0.5000 0.5000 0.5000

---

3.
# TiSb2TeRh PBE optimized geometry
# - E: -4.722 eV/atom
# - Total moment: 0.0 Bohr magnetons per cell
# - Excess energy over the best structure of this formula in the dataset: 75 meV/atom
data_TiSb2TeRh
_chemical_formula_sum 'Ti1 Sb2 Te1 Rh1'
_space_group_name_H-M_alt 'P 4/m m m'
_space_group_IT_number 123
_space_group_name_Hall '-P 4 2'
_cell_length_a 5.1694
_cell_length_b 5.1694
_cell_length_c 5.1546
_cell_angle_alpha 90.00
_cell_angle_beta 90.00
_cell_angle_gamma 90.00
loop_
_atom_site_label
_atom_site_type_symbol
_atom_site_fract_x
_atom_site_fract_y
_atom_site_fract_z
Ti1 Ti 0.0000 0.0000 0.0000
Sb1 Sb 0.0000 0.5000 0.0000
Te1 Te 0.0000 0.0000 0.5000
Rh1 Rh 0.5000 0.5000 0.5000

---

4.
# TlSbTe2Rh PBE optimized geometry
# - E: -2.659 eV/atom
# - Total moment: 1.2 Bohr magnetons per cell
# - Excess energy over the best structure of this formula in the dataset: 1253 meV/atom
data_TlSbTe2Rh
_chemical_formula_sum 'Tl1 Sb1 Te2 Rh1'
_space_group_name_H-M_alt 'P 4/m m m'
_space_group_IT_number 123
_space_group_name_Hall '-P 4 2'
_cell_length_a 5.7226
_cell_length_b 5.7226
_cell_length_c 5.5563
_cell_angle_alpha 90.00
_cell_angle_beta 90.00
_cell_angle_gamma 90.00
loop_
_atom_site_label
_atom_site_type_symbol
_atom_site_fract_x
_atom_site_fract_y
_atom_site_fract_z
Tl1 Tl 0.0000 0.0000 0.0000
Sb1 Sb 0.0000 0.0000 0.5000
Te1 Te 0.0000 0.5000 0.0000
Rh1 Rh 0.5000 0.5000 0.5000

---

5.
# TlSbTe2Rh PBE optimized geometry
# - E: -3.004 eV/atom
# - Total moment: 0.0 Bohr magnetons per cell
# - Excess energy over the best structure of this formula in the dataset: 908 meV/atom
data_TlSbTe2Rh
_chemical_formula_sum 'Tl1 Sb1 Te2 Rh1'
_space_group_name_H-M_alt 'P 4/m m m'
_space_group_IT_number 123
_space_group_name_Hall '-P 4 2'
_cell_length_a 5.6932
_cell_length_b 5.6932
_cell_length_c 5.0456
_cell_angle_alpha 90.00
_cell_angle_beta 90.00
_cell_angle_gamma 90.00
loop_
_atom_site_label
_atom_site_type_symbol
_atom_site_fract_x
_atom_site_fract_y
_atom_site_fract_z
Tl1 Tl 0.0000 0.0000 0.0000
Sb1 Sb 0.5000 0.5000 0.5000
Te1 Te 0.0000 0.5000 0.0000
Rh1 Rh 0.0000 0.0000 0.5000

---

6.
# TlSbTe2Rh PBE optimized geometry
# - E: -3.912 eV/atom
# - Total moment: 0.0 Bohr magnetons per cell
# - Excess energy over the best structure of this formula in the dataset: 0 meV/atom
data_TlSbTe2Rh
_chemical_formula_sum 'Tl1 Sb1 Te2 Rh1'
_space_group_name_H-M_alt 'P 4/m m m'
_space_group_IT_number 123
_space_group_name_Hall '-P 4 2'
_cell_length_a 5.5519
_cell_length_b 5.5519
_cell_length_c 4.9525
_cell_angle_alpha 90.00
_cell_angle_beta 90.00
_cell_angle_gamma 90.00
loop_
_atom_site_label
_atom_site_type_symbol
_atom_site_fract_x
_atom_site_fract_y
_atom_site_fract_z
Tl1 Tl 0.0000 0.0000 0.0000
Sb1 Sb 0.5000 0.5000 0.0000
Te1 Te 0.0000 0.5000 0.5000
Rh1 Rh 0.5000 0.5000 0.5000

---

7.
# VSbTe2Rh PBE optimized geometry
# - E: -4.552 eV/atom
# - Total moment: 0.2 Bohr magnetons per cell
# - Excess energy over the best structure of this formula in the dataset: 120 meV/atom
data_VSbTe2Rh
_chemical_formula_sum 'V1 Sb1 Te2 Rh1'
_space_group_name_H-M_alt 'P 4/m m m'
_space_group_IT_number 123
_space_group_name_Hall '-P 4 2'
_cell_length_a 5.3110
_cell_length_b 5.3110
_cell_length_c 4.9009
_cell_angle_alpha 90.00
_cell_angle_beta 90.00
_cell_angle_gamma 90.00
loop_
_atom_site_label
_atom_site_type_symbol
_atom_site_fract_x
_atom_site_fract_y
_atom_site_fract_z
V1 V 0.0000 0.0000 0.0000
Sb1 Sb 0.5000 0.5000 0.0000
Te1 Te 0.0000 0.5000 0.5000
Rh1 Rh 0.5000 0.5000 0.5000

---

8.
# VSbTe2Rh PBE optimized geometry
# - E: -4.673 eV/atom
# - Total moment: 0.0 Bohr magnetons per cell
# - Excess energy over the best structure of this formula in the dataset: 0 meV/atom
data_VSbTe2Rh
_chemical_formula_sum 'V1 Sb1 Te2 Rh1'
_space_group_name_H-M_alt 'P 4/m m m'
_space_group_IT_number 123
_space_group_name_Hall '-P 4 2'
_cell_length_a 5.0509
_cell_length_b 5.0509
_cell_length_c 5.0533
_cell_angle_alpha 90.00
_cell_angle_beta 90.00
_cell_angle_gamma 90.00
loop_
_atom_site_label
_atom_site_type_symbol
_atom_site_fract_x
_atom_site_fract_y
_atom_site_fract_z
V1 V 0.0000 0.0000 0.0000
Sb1 Sb 0.0000 0.0000 0.5000
Te1 Te 0.0000 0.5000 0.0000
Rh1 Rh 0.5000 0.5000 0.5000